(1)
Material: YMo2Br
Method: DFT, GGA-PBE
State: optimized geometry

Properties
Crystal system: tetragonal
Total magnetization (μB per atom): 0.151
Space-group type: P4mm (99)
ΔE to the lowest computed polymorph (eV/atom): 0.059
Fermi-level density of states (states/eV/atom): 1.01
Formation energy without anion corrections (eV/atom): 0.000

Cell: 3.2894 3.2894 8.2043 Å, 90.00 90.00 90.00°
Last column: nearest neighbours and their distance in Å.
Atoms (fractional coordinates):
Y: 0.0000 0.0000 0.0000  4 Br 3.08, 5 Mo 3.13-3.30, 4 Y 3.29
Mo: 0.0000 0.0000 0.5978  4 Mo 2.62
Mo: 0.5000 0.5000 0.7450  4 Mo 2.62
Br: 0.5000 0.5000 0.2457  4 Y 3.08, 4 Br 3.29

(2)
Material: Y3MoBr
Method: DFT, GGA-PBE
State: optimized geometry

Properties
Crystal system: cubic
Total magnetization (μB per atom): 0.000
Space-group type: Pm-3m (221)
ΔE to the lowest computed polymorph (eV/atom): 0.000
Fermi-level density of states (states/eV/atom): 1.26
Formation energy without anion corrections (eV/atom): 0.264

Cell: 5.4518 5.4518 5.4518 Å, 90.00 90.00 90.00°
Last column: nearest neighbours and their distance in Å.
Atoms (fractional coordinates):
Y: 0.0000 0.0000 0.5000  2 Mo 2.73
Y: 0.0000 0.5000 0.0000  2 Mo 2.73
Y: 0.5000 0.0000 0.0000  2 Mo 2.73
Mo: 0.0000 0.0000 0.0000  6 Y 2.73
Br: 0.5000 0.5000 0.5000  12 Y 3.85